CaInCu: single point on PBEsol structure, SCAN.

The structure belongs to space group P-6m2 (No. 187); the cell edges are 4.6030, 4.6030 and 3.6065 Å and the angles 90.00°, 90.00° and 120.00°. The asymmetric unit holds Ca at (0.0000, 0.0000, 0.0000), In at (0.6667, 0.3333, 0.5000) and Cu at (0.3333, 0.6667, 0.5000).

As for the formation energy: -0.3366 eV per atom. As for the uncorrected energy: -59.259 eV per cell.


ZrBF2: single point on PBEsol structure, SCAN.

The structure belongs to space group R-3m (No. 166, hexagonal axes); the cell edges are 2.8376, 2.8376 and 23.4943 Å and the angles 90.00°, 90.00° and 120.00°. The asymmetric unit holds Zr at (0.0000, 0.0000, 0.0000), B at (0.0000, 0.0000, 0.5000) and F at (0.0000, 0.0000, 0.3987).

The uncorrected formation energy comes out at -1.0566 eV per atom. As for the uncorrected energy: -148.304 eV per cell.


Tl2SiAu: single point on PBEsol structure, SCAN.

The structure belongs to space group P2/m (No. 10); the cell edges are 3.497, 4.038 and 6.270 Å and the angles 90.00°, 99.55° and 90.00°. The asymmetric unit holds Tl at (0.011, 0.000, 0.250), Si at (0.500, 0.500, 0.500) and Au at (0.500, 0.500, 0.000).

As for the energy above the most stable polymorph in this dataset: 449 meV per atom. The uncorrected formation energy comes out at 0.4458 eV per atom. As for the uncorrected energy: -222.106 eV per cell.


SrI2Cl: single point on PBEsol structure, SCAN.

The structure belongs to space group Fm-3m (No. 225); the cell edges are 7.937, 7.937 and 7.937 Å and the angles 90.00°, 90.00° and 90.00°. The asymmetric unit holds Sr at (0.000, 0.000, 0.000), I at (0.250, 0.250, 0.250) and Cl at (0.000, 0.000, 0.500).

The uncorrected formation energy comes out at -1.1833 eV per atom. As for the uncorrected energy: -433.879 eV per cell.


Zn2Au: single point on PBEsol structure, SCAN.

The structure belongs to space group I4/mmm (No. 139); the cell edges are 2.969, 2.969 and 10.128 Å and the angles 90.00°, 90.00° and 90.00°. The asymmetric unit holds Zn at (0.000, 0.000, 0.171) and Au at (0.000, 0.000, 0.500).

As for the formation energy: -0.1291 eV per atom. As for the uncorrected energy: -193.149 eV per cell.


LiAc2Ir: single point on PBEsol structure, SCAN.

The structure belongs to space group Fm-3m (No. 225); the cell edges are 7.475, 7.475 and 7.475 Å and the angles 90.00°, 90.00° and 90.00°. The asymmetric unit holds Li at (0.000, 0.000, 0.000), Ac at (0.250, 0.250, 0.250) and Ir at (0.000, 0.000, 0.500).

As for the formation energy: -0.3662 eV per atom. As for the uncorrected energy: -1023.614 eV per cell.


HfSnCl2: single point on PBEsol structure, SCAN.

The structure belongs to space group R-3m (No. 166, hexagonal axes); the cell edges are 3.1855, 3.1855 and 33.1271 Å and the angles 90.00°, 90.00° and 120.00°. The asymmetric unit holds Hf at (0.0000, 0.0000, 0.0000), Sn at (0.0000, 0.0000, 0.5000) and Cl at (0.0000, 0.0000, 0.3876).

The uncorrected formation energy comes out at -0.9946 eV per atom. As for the uncorrected energy: -355.585 eV per cell.


SrAg4Hg: single point on PBEsol structure, SCAN.

The structure belongs to space group F-43m (No. 216); the cell edges are 7.890, 7.890 and 7.890 Å and the angles 90.00°, 90.00° and 90.00°. The asymmetric unit holds Sr at (0.000, 0.000, 0.000), Ag at (0.125, 0.125, 0.625) and Hg at (0.250, 0.250, 0.250).

As for the formation energy: -0.2096 eV per atom. As for the uncorrected energy: -868.668 eV per cell.


Q: Look up the uncorrected energy of the fifth one.
A: -193.149 eV per cell